No. 1
DFT (PBE) results for Ho6SnIr after structural relaxation.

- Spin magnetization: 0.00 μB/cell
- DFT formation energy: -0.238 eV per atom
- Symmetry: P-1
- DOS at the Fermi energy: 1.098 states/eV/atom

Cell: 6.8126 6.8206 7.5750 Å, 63.29 63.35 60.03°
Closest atoms and distances in Å follow each position.
Sites, in units of the cell vectors:
Ir  0.0000  0.0000  0.0000  6 Ho 2.69
Ho  0.9571  0.5811  0.2430  1 Ir 2.69, 1 Sn 3.02
Ho  0.7806  0.0424  0.7570  1 Ir 2.69, 1 Sn 3.02
Ho  0.4188  0.7812  0.7570  1 Ir 2.69, 1 Sn 3.02
Ho  0.5812  0.2188  0.2430  1 Ir 2.69, 1 Sn 3.02
Sn  0.5000  0.5000  0.5000  6 Ho 3.02
Ho  0.2194  0.9576  0.2430  1 Ir 2.69, 1 Sn 3.02
Ho  0.0429  0.4189  0.7570  1 Ir 2.69, 1 Sn 3.02

No. 2
DFT (PBE) results for CoNiW2Se after structural relaxation.

- ΔE_f (raw): 1.527 eV/atom
- Spin magnetization: 2.39 μB/cell
- Symmetry: P4/mmm
- DOS at the Fermi energy: 1.060 states/eV/atom

Cell: 4.6115 4.1752 4.6115 Å, 90.00 90.00 90.00°
Closest atoms and distances in Å follow each position.
Sites, in units of the cell vectors:
Ni  0.0000  0.5000  0.0000  2 Se 2.09
W  0.0000  0.0000  0.5000  2 Se 2.31
W  0.5000  0.0000  0.0000  2 Se 2.31
Se  0.0000  0.0000  0.0000  2 Ni 2.09, 4 W 2.31
Co  0.5000  0.5000  0.5000  8 W 3.11, 4 Ni 3.26

No. 3
DFT (PBE) results for BeH2Pd after structural relaxation.

- Uncorrected energy: -31.17 eV per cell
- Spin magnetization: 0.00 μB/cell
- Symmetry: I-42d
- DOS at the Fermi energy: 0.000 states/eV/atom

Cell: 3.8565 3.8565 5.0222 Å, 67.42 67.42 90.00°
Closest atoms and distances in Å follow each position.
Sites, in units of the cell vectors:
H  0.5695  0.1250  0.2500  2 Be 1.61
Pd  0.7500  0.2500  0.5000  4 H 1.85
Pd  0.0000  0.0000  0.0000  4 H 1.85
H  0.8750  0.8195  0.7500  2 Be 1.61
H  0.1805  0.6250  0.2500  2 Be 1.61
H  0.3750  0.4305  0.7500  2 Be 1.61
Be  0.5000  0.5000  0.0000  4 H 1.61
Be  0.2500  0.7500  0.5000  4 H 1.61

No. 4
DFT (PBE) results for CeSmGdAg after structural relaxation.

- Spin magnetization: 10.27 μB/cell
- DFT formation energy: 0.104 eV per atom
- Symmetry: F-43m
- DOS at the Fermi energy: 1.979 states/eV/atom

Cell: 5.3577 5.3577 5.3577 Å, 60.00 60.00 60.00°
Closest atoms and distances in Å follow each position.
Sites, in units of the cell vectors:
Ce  0.7500  0.7500  0.7500  4 Sm 3.28, 4 Gd 3.28
Gd  0.0000  0.0000  0.0000  4 Ce 3.28, 4 Ag 3.28
Sm  0.5000  0.5000  0.5000  4 Ag 3.28, 4 Ce 3.28
Ag  0.2500  0.2500  0.2500  4 Gd 3.28, 4 Sm 3.28